First-principles (PBE) data for a relaxed Na4Dy3SbO8 crystal, as listed in Alexandria via LeMat-Bulk.

```
data_Na4Dy3SbO8
_cell_length_a 6.873
_cell_length_b 6.858
_cell_length_c 6.873
_cell_angle_alpha 120.05
_cell_angle_beta 120.00
_cell_angle_gamma 90.00
_symmetry_space_group_name_H-M 'P 1'
_symmetry_Int_Tables_number 1
loop_
_symmetry_equiv_pos_as_xyz
'x,y,z'
loop_
_atom_site_label
_atom_site_fract_x
_atom_site_fract_y
_atom_site_fract_z
O1 0.736 0.709 0.473
O2 0.264 0.291 0.527
O3 0.759 0.285 0.026
O4 0.241 0.715 0.482
O5 0.733 0.715 0.974
O6 0.759 0.285 0.518
O7 0.241 0.715 0.974
O8 0.267 0.285 0.026
Na1 0.500 0.000 0.500
Na2 0.500 0.000 0.000
Na3 0.000 0.000 0.500
Na4 0.000 0.000 0.000
Dy1 0.500 0.500 0.000
Dy2 0.000 0.500 0.500
Dy3 0.500 0.500 0.500
Sb1 0.000 0.500 0.000
```

Crystal system: trigonal
Raw total energy (eV per atom): -6.355
Raw formation energy (meV per atom): -2425
Total moment (Bohr magnetons per cell): 0.00

First-principles (PBE) data for a relaxed MnGaFePd crystal, as listed in Alexandria via LeMat-Bulk.

```
data_MnGaFePd
_cell_length_a 4.213
_cell_length_b 4.213
_cell_length_c 4.213
_cell_angle_alpha 60.00
_cell_angle_beta 60.00
_cell_angle_gamma 60.00
_symmetry_space_group_name_H-M 'P 1'
_symmetry_Int_Tables_number 1
loop_
_symmetry_equiv_pos_as_xyz
'x,y,z'
loop_
_atom_site_label
_atom_site_fract_x
_atom_site_fract_y
_atom_site_fract_z
Ga1 0.250 0.250 0.250
Mn1 0.750 0.750 0.750
Pd1 0.500 0.500 0.500
Fe1 0.000 0.000 0.000
```

DFT formation energy (meV per atom): -159
Crystal system: cubic
Raw total energy (eV per atom): -6.622
Total moment (Bohr magnetons per cell): 4.11

First-principles (PBE) data for a relaxed Ac5Nd4Tm2 crystal, as listed in Alexandria via LeMat-Bulk.

```
data_Ac5Nd4Tm2
_cell_length_a 3.689
_cell_length_b 12.491
_cell_length_c 15.930
_cell_angle_alpha 143.77
_cell_angle_beta 90.00
_cell_angle_gamma 90.00
_symmetry_space_group_name_H-M 'P 1'
_symmetry_Int_Tables_number 1
loop_
_symmetry_equiv_pos_as_xyz
'x,y,z'
loop_
_atom_site_label
_atom_site_fract_x
_atom_site_fract_y
_atom_site_fract_z
Ac1 0.000 0.225 0.198
Ac2 0.000 0.775 0.802
Ac3 0.000 0.500 0.000
Ac4 0.000 0.385 0.709
Ac5 0.000 0.615 0.291
Tm1 0.000 0.034 0.658
Tm2 0.000 0.966 0.342
Nd1 0.500 0.157 0.924
Nd2 0.500 0.685 0.540
Nd3 0.500 0.843 0.076
Nd4 0.500 0.315 0.460
```

DFT formation energy (meV per atom): 167
Crystal system: monoclinic
Raw total energy (eV per atom): -4.247
Total moment (Bohr magnetons per cell): 0.00

First-principles (PBE) data for a relaxed RbRu2O6 crystal, as listed in Alexandria via LeMat-Bulk.

```
data_RbRu2O6
_cell_length_a 7.212
_cell_length_b 7.212
_cell_length_c 7.212
_cell_angle_alpha 60.00
_cell_angle_beta 60.00
_cell_angle_gamma 60.00
_symmetry_space_group_name_H-M 'P 1'
_symmetry_Int_Tables_number 1
loop_
_symmetry_equiv_pos_as_xyz
'x,y,z'
loop_
_atom_site_label
_atom_site_fract_x
_atom_site_fract_y
_atom_site_fract_z
O1 0.441 0.441 0.059
O2 0.059 0.441 0.441
O3 0.059 0.441 0.059
O4 0.809 0.191 0.809
O5 0.441 0.059 0.059
O6 0.191 0.809 0.191
O7 0.191 0.809 0.809
O8 0.191 0.191 0.809
O9 0.809 0.191 0.191
O10 0.059 0.059 0.441
O11 0.441 0.059 0.441
O12 0.809 0.809 0.191
Ru1 0.125 0.625 0.125
Ru2 0.625 0.125 0.125
Ru3 0.125 0.125 0.125
Ru4 0.125 0.125 0.625
Rb1 0.500 0.500 0.500
Rb2 0.750 0.750 0.750
```

Crystal system: cubic
Raw total energy (eV per atom): -6.511
Raw formation energy (meV per atom): -1036
Total moment (Bohr magnetons per cell): 0.00

First-principles (PBE) data for a relaxed SiPdAu crystal, as listed in Alexandria via LeMat-Bulk.

```
data_SiPdAu
_cell_length_a 3.177
_cell_length_b 4.180
_cell_length_c 4.180
_cell_angle_alpha 120.00
_cell_angle_beta 90.00
_cell_angle_gamma 90.00
_symmetry_space_group_name_H-M 'P 1'
_symmetry_Int_Tables_number 1
loop_
_symmetry_equiv_pos_as_xyz
'x,y,z'
loop_
_atom_site_label
_atom_site_fract_x
_atom_site_fract_y
_atom_site_fract_z
Pd1 0.788 0.667 0.333
Au1 0.289 0.333 0.667
Si1 0.923 0.000 0.000
```

ΔE to the lowest computed polymorph (meV per atom): 66
Crystal system: trigonal
Raw total energy (eV per atom): -4.834
Raw formation energy (meV per atom): -203
Total moment (Bohr magnetons per cell): 0.00

First-principles (PBE) data for a relaxed Sm2MgAl2Ir5 crystal, as listed in Alexandria via LeMat-Bulk.

```
data_Sm2MgAl2Ir5
_cell_length_a 3.499
_cell_length_b 10.027
_cell_length_c 10.027
_cell_angle_alpha 90.00
_cell_angle_beta 90.00
_cell_angle_gamma 90.00
_symmetry_space_group_name_H-M 'P 1'
_symmetry_Int_Tables_number 1
loop_
_symmetry_equiv_pos_as_xyz
'x,y,z'
loop_
_atom_site_label
_atom_site_fract_x
_atom_site_fract_y
_atom_site_fract_z
Sm1 0.000 0.324 0.824
Sm2 0.000 0.176 0.324
Sm3 0.000 0.824 0.676
Sm4 0.000 0.676 0.176
Ir1 0.500 0.936 0.209
Ir2 0.500 0.000 0.500
Ir3 0.500 0.436 0.291
Ir4 0.500 0.791 0.936
Ir5 0.500 0.209 0.064
Ir6 0.500 0.064 0.791
Ir7 0.500 0.709 0.436
Ir8 0.500 0.500 0.000
Ir9 0.500 0.291 0.564
Ir10 0.500 0.564 0.709
Al1 0.000 0.623 0.877
Al2 0.000 0.377 0.123
Al3 0.000 0.877 0.377
Al4 0.000 0.123 0.623
Mg1 0.000 0.000 0.000
Mg2 0.000 0.500 0.500
```

DFT formation energy (meV per atom): -637
Crystal system: tetragonal
Raw total energy (eV per atom): -6.919
Total moment (Bohr magnetons per cell): 0.00